# CsAgPbBr6 | Alexandria | GGA-PBE | relaxed
data_CsAgPbBr6
_symmetry_space_group_name_H-M 'P 3 1 2'
_symmetry_Int_Tables_number 149
_cell_length_a 7.3849
_cell_length_b 7.3849
_cell_length_c 8.0722
_cell_angle_alpha 90.00
_cell_angle_beta 90.00
_cell_angle_gamma 120.00
loop_
_symmetry_equiv_pos_as_xyz
'x,y,z'
'-y,x-y,z'
'-x+y,-x,z'
'-y,-x,-z'
'-x+y,y,-z'
'x,x-y,-z'
loop_
_atom_site_label
_atom_site_type_symbol
_atom_site_fract_x
_atom_site_fract_y
_atom_site_fract_z
Cs1 Cs 0.0000 0.0000 0.0000
Ag1 Ag 0.3333 0.6667 0.5000
Pb1 Pb 0.6667 0.3333 0.5000
Br1 Br 0.3786 0.0136 0.6985
# M_tot in μB per formula unit: 0.0
# E_form (uncorrected) in eV per formula unit: -6.429
# Energy in eV per cell: -23.9